1.
PBE-GGA MgNbS3, relaxed; E above lowest polymorph = 781 meV/atom; space-group type = No. 221; M_tot = 0.239 μB/atom; E_form (uncorrected) = 27 kJ/mol of atoms; Fermi-level density of states = 2.190 states/eV per cell
1.0
4.635 0.000 0.000
0.000 4.635 0.000
0.000 0.000 4.635
Mg Nb S
1 1 3
direct
0.000 0.000 0.000
0.500 0.500 0.500
0.000 0.000 0.500
0.000 0.500 0.000
0.500 0.000 0.000

2.
PBE-GGA MgNb3S, relaxed; E above lowest polymorph = 1760 meV/atom; space-group type = No. 221; M_tot = 0.000 μB/atom; E_form (uncorrected) = 179 kJ/mol of atoms; Fermi-level density of states = 7.244 states/eV per cell
1.0
4.777 0.000 0.000
0.000 4.777 0.000
0.000 0.000 4.777
Mg Nb S
1 3 1
direct
0.000 0.000 0.000
0.000 0.000 0.500
0.000 0.500 0.000
0.500 0.000 0.000
0.500 0.500 0.500

3.
PBE-GGA Mg3NbS, relaxed; E above lowest polymorph = 0 meV/atom; space-group type = No. 221; M_tot = 0.598 μB/atom; E_form (uncorrected) = 32 kJ/mol of atoms; Fermi-level density of states = 1.272 states/eV per cell
1.0
4.822 0.000 0.000
0.000 4.822 0.000
0.000 0.000 4.822
Mg Nb S
3 1 1
direct
0.000 0.000 0.500
0.000 0.500 0.000
0.500 0.000 0.000
0.500 0.500 0.500
0.000 0.000 0.000

Q: Number 3 is which compound?
A: Mg3NbS

Q: Among the records above, which one has the lowest E above lowest polymorph?
A: Mg3NbS